No. 1
4
Lattice="0.000 3.636 3.636 3.636 0.000 3.636 3.636 3.636 0.000" Properties=species:S:1:pos:R:3 comment="DyPuIrPb, optimized geometry, DFT PBE" final_energy_ev_per_atom=-8.125 spacegroup="No. 216" pbc="T T T"
Dy 0.000 0.000 0.000
Pu 3.636 3.636 3.636
Ir 1.818 1.818 1.818
Pb 5.454 5.454 5.454

No. 2
12
Lattice="-2.007 3.821 6.052 2.007 -3.821 6.052 2.007 3.821 -6.052" Properties=species:S:1:pos:R:3 comment="Ti6Pd5Rh, optimized geometry, DFT PBE" de_polymorph_ev_per_fu=0.000 spacegroup="No. 71" pbc="T T T"
Ti 2.007 1.882 -2.004
Ti 0.000 1.846 0.000
Ti 2.007 1.882 2.004
Ti 0.000 1.939 4.048
Ti 0.000 5.797 0.000
Ti 0.000 1.939 8.056
Pd 0.000 0.000 2.061
Pd 2.007 0.000 4.063
Pd 0.000 0.000 6.052
Pd 0.000 3.821 1.989
Pd 0.000 0.000 10.044
Rh 2.007 0.000 0.000

No. 3
8
Lattice="7.646 0.000 0.000 0.000 4.318 0.000 -2.447 0.000 7.308" Properties=species:S:1:pos:R:3 comment="Pr4ZnTe2P, optimized geometry, DFT PBE" e_form_raw_ev_per_atom=-1.168 spacegroup="No. 10" pbc="T T T"
Pr 1.219 0.000 1.619
Pr 0.018 2.159 5.606
Pr 5.180 2.159 1.702
Pr 3.979 0.000 5.689
Zn 3.823 0.000 0.000
Te -1.224 0.000 3.654
Te 2.599 2.159 3.654
P 0.000 2.159 0.000

No. 4
20
Lattice="7.694 0.000 0.000 0.000 4.325 0.000 -2.165 0.000 8.981" Properties=species:S:1:pos:R:3 comment="InCu3Pd6, optimized geometry, DFT PBE" de_polymorph_ev_per_fu=0.000 spacegroup="No. 11" pbc="T T T"
In -0.358 1.081 3.464
In 5.886 3.244 5.517
Cu 1.935 1.081 0.085
Cu 0.934 3.244 7.333
Cu 2.233 1.081 5.371
Cu 3.295 3.244 3.610
Cu 4.595 1.081 1.648
Cu 3.593 3.244 8.896
Pd -1.506 3.244 8.198
Pd 0.754 3.244 1.883
Pd -0.229 1.081 6.365
Pd 0.870 3.244 4.682
Pd 2.246 1.081 2.715
Pd 3.307 3.244 0.932
Pd 2.221 1.081 8.049
Pd 3.283 3.244 6.266
Pd 4.659 1.081 4.299
Pd 5.758 3.244 2.616
Pd 4.774 1.081 7.098
Pd 7.035 1.081 0.783

No. 5
6
Lattice="2.529 1.460 4.473 -2.529 1.460 4.473 0.000 -2.920 4.473" Properties=species:S:1:pos:R:3 comment="HgOs2, optimized geometry, DFT PBE" de_polymorph_ev_per_fu=1.563 spacegroup="No. 155" pbc="T T T"
Hg 0.000 0.000 2.011
Hg 0.000 0.000 11.410
Os -0.991 -1.204 4.473
Os -0.548 1.460 4.473
Os 0.000 0.000 6.710
Os 1.538 -0.256 4.473

No. 6
6
Lattice="4.792 0.000 0.000 0.000 2.770 0.000 -0.767 0.000 5.493" Properties=species:S:1:pos:R:3 comment="OsRuN, optimized geometry, DFT PBE" e_form_raw_ev_per_atom=0.409 de_polymorph_ev_per_fu=0.170 spacegroup="No. 6" pbc="T T T"
Os 0.000 0.000 0.000
Os -0.089 1.385 3.232
Ru 1.565 1.385 5.193
Ru 2.475 0.000 2.909
N 0.610 0.000 1.947
N 3.033 0.000 0.962

No. 7
4
Lattice="0.000 3.300 3.300 3.300 0.000 3.300 3.300 3.300 0.000" Properties=species:S:1:pos:R:3 comment="TmInCoPt, optimized geometry, DFT PBE" final_energy_ev_per_atom=-5.639 spacegroup="No. 216" pbc="T T T"
Tm 0.000 0.000 0.000
In 3.300 3.300 3.300
Co 4.950 4.950 4.950
Pt 1.650 1.650 1.650

No. 8
9
Lattice="5.298 -3.015 0.000 5.298 3.015 0.000 -1.727 0.000 6.202" Properties=species:S:1:pos:R:3 comment="Ba2SbPd6, optimized geometry, DFT PBE" e_form_raw_ev_per_atom=-0.506 spacegroup="No. 12" pbc="T T T"
Ba 0.862 0.000 1.982
Ba 8.006 0.000 4.219
Sb 4.434 0.000 3.101
Pd 3.442 1.557 1.119
Pd 2.631 0.000 5.124
Pd 5.426 1.557 5.083
Pd 3.442 -1.557 1.119
Pd 6.237 0.000 1.078
Pd 5.426 -1.557 5.083

Number 1: magnetization 5.1 μB per formula unit. Number 2: magnetization 0.0 μB per formula unit. Number 3: magnetization 0.0 μB per formula unit. Number 4: magnetization 0.0 μB per formula unit. Number 5: magnetization 0.0 μB per formula unit. Number 6: magnetization 0.0 μB per formula unit. Number 7: magnetization 1.1 μB per formula unit. Number 8: magnetization 0.0 μB per formula unit.